(1)
! PBE-GGA CeSm4Y5, relaxed; values from VASP
&SYSTEM
  ibrav = 0, nat = 10, ntyp = 3
/
ATOMIC_SPECIES
Ce 140.12 Ce.upf
Sm 150.36 Sm.upf
Y 88.91 Y.upf
ATOMIC_POSITIONS crystal
Ce 0.000 0.000 0.000
Sm 0.195 0.195 0.083
Sm 0.408 0.408 0.195
Sm 0.592 0.592 0.805
Sm 0.805 0.805 0.917
Y 0.000 0.000 0.500
Y 0.294 0.294 0.401
Y 0.395 0.395 0.712
Y 0.605 0.605 0.288
Y 0.706 0.706 0.599
CELL_PARAMETERS angstrom
8.969 -1.753 0.000
8.969 1.753 0.000
-3.257 0.000 10.467
! Mass density = 5.985 g/cm3
! Space group = C2/m (12)
! Energy of formation from the pure elements = 105.0 kJ/mol of formula units
! D(E_F) = 17.86 states/eV/cell

=====

(2)
! PBE-GGA NdThZr, relaxed; values from VASP
&SYSTEM
  ibrav = 0, nat = 3, ntyp = 3
/
ATOMIC_SPECIES
Nd 144.24 Nd.upf
Th 232.04 Th.upf
Zr 91.22 Zr.upf
ATOMIC_POSITIONS crystal
Nd 0.000 0.000 0.000
Th 0.333 0.667 0.650
Zr 0.667 0.333 0.337
CELL_PARAMETERS angstrom
3.483 0.000 0.000
-1.742 3.016 0.000
0.000 0.000 8.425
! Mass density = 8.770 g/cm3
! Space group = P3m1 (156)
! Energy of formation from the pure elements = 38.2 kJ/mol of formula units
! D(E_F) = 3.82 states/eV/cell
! Relative energy among the computed polymorphs = 0.063 eV per atom

=====

(3)
! PBE-GGA CaZrCdPb2, relaxed; values from VASP
&SYSTEM
  ibrav = 0, nat = 5, ntyp = 4
/
ATOMIC_SPECIES
Ca 40.08 Ca.upf
Zr 91.22 Zr.upf
Cd 112.41 Cd.upf
Pb 207.20 Pb.upf
ATOMIC_POSITIONS crystal
Ca 0.000 0.000 0.000
Zr 0.500 0.500 0.000
Cd 0.500 0.500 0.500
Pb 0.000 0.500 0.500
Pb 0.500 0.000 0.500
CELL_PARAMETERS angstrom
5.608 0.000 0.000
0.000 5.608 0.000
0.000 0.000 5.533
! Mass density = 6.281 g/cm3
! Space group = P4/mmm (123)
! Energy of formation from the pure elements = 263.1 kJ/mol of formula units
! D(E_F) = 3.25 states/eV/cell

=====

(4)
! PBE-GGA HfPSe3, relaxed; values from VASP
&SYSTEM
  ibrav = 0, nat = 5, ntyp = 3
/
ATOMIC_SPECIES
Hf 178.49 Hf.upf
P 30.97 P.upf
Se 78.96 Se.upf
ATOMIC_POSITIONS crystal
Hf 0.000 0.000 0.000
P 0.500 0.500 0.500
Se 0.000 0.500 0.500
Se 0.500 0.000 0.500
Se 0.500 0.500 0.000
CELL_PARAMETERS angstrom
4.746 0.000 0.000
0.000 4.746 0.000
0.000 0.000 4.746
! Mass density = 6.931 g/cm3
! Energy relative to the elements, uncorrected = 0.256 eV/atom
! Space group = Pm-3m (221)
! D(E_F) = 4.79 states/eV/cell
! Relative energy among the computed polymorphs = 0.112 eV per atom

=====

(5)
! PBE-GGA YBiTe, relaxed; values from VASP
&SYSTEM
  ibrav = 0, nat = 12, ntyp = 3
/
ATOMIC_SPECIES
Y 88.91 Y.upf
Bi 208.98 Bi.upf
Te 127.60 Te.upf
ATOMIC_POSITIONS crystal
Y 0.000 0.000 0.159
Y 0.000 0.000 0.841
Y 0.500 0.500 0.341
Y 0.500 0.500 0.659
Bi 0.000 0.251 0.000
Bi 0.000 0.749 0.000
Bi 0.500 0.249 0.500
Bi 0.500 0.751 0.500
Te 0.000 0.000 0.321
Te 0.000 0.000 0.679
Te 0.500 0.500 0.179
Te 0.500 0.500 0.821
CELL_PARAMETERS angstrom
3.952 0.000 0.000
0.000 5.566 0.000
0.000 0.000 18.738
! Mass density = 6.855 g/cm3
! Energy relative to the elements, uncorrected = -0.475 eV/atom
! Space group = Immm (71)
! D(E_F) = 9.01 states/eV/cell

=====

(6)
! PBE-GGA Ac3Sn4Rh8, relaxed; values from VASP
&SYSTEM
  ibrav = 0, nat = 30, ntyp = 3
/
ATOMIC_SPECIES
Ac 227.00 Ac.upf
Sn 118.71 Sn.upf
Rh 102.91 Rh.upf
ATOMIC_POSITIONS crystal
Ac 0.234 0.234 0.766
Ac 0.234 0.766 0.234
Ac 0.234 0.766 0.766
Ac 0.766 0.234 0.234
Ac 0.766 0.234 0.766
Ac 0.766 0.766 0.234
Sn 0.000 0.000 0.000
Sn 0.000 0.000 0.500
Sn 0.000 0.500 0.000
Sn 0.000 0.500 0.500
Sn 0.500 0.000 0.000
Sn 0.500 0.000 0.500
Sn 0.500 0.500 0.000
Sn 0.500 0.500 0.500
Rh 0.125 0.625 0.625
Rh 0.174 0.174 0.174
Rh 0.174 0.174 0.478
Rh 0.174 0.478 0.174
Rh 0.375 0.375 0.375
Rh 0.375 0.375 0.875
Rh 0.375 0.875 0.375
Rh 0.478 0.174 0.174
Rh 0.522 0.826 0.826
Rh 0.625 0.125 0.625
Rh 0.625 0.625 0.125
Rh 0.625 0.625 0.625
Rh 0.826 0.522 0.826
Rh 0.826 0.826 0.522
Rh 0.826 0.826 0.826
Rh 0.875 0.375 0.375
CELL_PARAMETERS angstrom
0.000 6.766 6.766
6.766 0.000 6.766
6.766 6.766 0.000
! Mass density = 10.612 g/cm3
! Space group = Fm-3m (225)
! Energy of formation from the pure elements = -783.6 kJ/mol of formula units
! D(E_F) = 17.77 states/eV/cell

=====

(7)
! PBE-GGA TlGeO2, relaxed; values from VASP
&SYSTEM
  ibrav = 0, nat = 12, ntyp = 3
/
ATOMIC_SPECIES
Tl 204.38 Tl.upf
Ge 72.64 Ge.upf
O 16.00 O.upf
ATOMIC_POSITIONS crystal
Tl 0.000 0.000 0.000
Tl 0.333 0.667 0.667
Tl 0.667 0.333 0.333
Ge 0.000 0.000 0.500
Ge 0.333 0.667 0.167
Ge 0.667 0.333 0.833
O 0.000 0.000 0.124
O 0.000 0.000 0.876
O 0.333 0.667 0.543
O 0.333 0.667 0.791
O 0.667 0.333 0.209
O 0.667 0.333 0.457
CELL_PARAMETERS angstrom
3.076 0.000 0.000
-1.538 2.664 0.000
0.000 0.000 22.534
! Mass density = 8.339 g/cm3
! Energy relative to the elements, uncorrected = -0.990 eV/atom
! Space group = R-3m (166)
! D(E_F) = 2.61 states/eV/cell
! Relative energy among the computed polymorphs = 0.007 eV per atom

=====

(8)
! PBE-GGA HoPuTe2S, relaxed; values from VASP
&SYSTEM
  ibrav = 0, nat = 10, ntyp = 4
/
ATOMIC_SPECIES
Ho 164.93 Ho.upf
Pu 244.00 Pu.upf
Te 127.60 Te.upf
S 32.06 S.upf
ATOMIC_POSITIONS crystal
Ho 0.250 0.250 0.112
Ho 0.750 0.750 0.888
Pu 0.250 0.250 0.603
Pu 0.750 0.750 0.397
Te 0.250 0.250 0.301
Te 0.250 0.250 0.906
Te 0.750 0.750 0.094
Te 0.750 0.750 0.699
S 0.250 0.750 0.500
S 0.750 0.250 0.500
CELL_PARAMETERS angstrom
4.372 0.000 0.000
0.000 4.372 0.000
0.000 0.000 15.502
! Mass density = 7.802 g/cm3
! Energy relative to the elements, uncorrected = -1.306 eV/atom
! Space group = P4/nmm (129)
! D(E_F) = 16.62 states/eV/cell

=====

(9)
! PBE-GGA K3In2Pb4, relaxed; values from VASP
&SYSTEM
  ibrav = 0, nat = 18, ntyp = 3
/
ATOMIC_SPECIES
K 39.10 K.upf
In 114.82 In.upf
Pb 207.20 Pb.upf
ATOMIC_POSITIONS crystal
K 0.009 0.991 0.750
K 0.281 0.492 0.347
K 0.492 0.281 0.847
K 0.508 0.719 0.153
K 0.719 0.508 0.653
K 0.991 0.009 0.250
In 0.065 0.339 0.943
In 0.339 0.065 0.443
In 0.661 0.935 0.557
In 0.935 0.661 0.057
Pb 0.081 0.315 0.550
Pb 0.166 0.599 0.808
Pb 0.315 0.081 0.050
Pb 0.401 0.834 0.692
Pb 0.599 0.166 0.308
Pb 0.685 0.919 0.950
Pb 0.834 0.401 0.192
Pb 0.919 0.685 0.450
CELL_PARAMETERS angstrom
7.763 -5.858 0.000
7.763 5.858 0.000
-1.961 0.000 7.464
! Mass density = 5.752 g/cm3
! Space group = C2/c (15)
! Energy of formation from the pure elements = -99.0 kJ/mol of formula units
! D(E_F) = 6.80 states/eV/cell
! Relative energy among the computed polymorphs = 0.000 eV per atom

=====

(10)
! PBE-GGA Tb6Bi2TeSe3, relaxed; values from VASP
&SYSTEM
  ibrav = 0, nat = 12, ntyp = 4
/
ATOMIC_SPECIES
Tb 158.93 Tb.upf
Bi 208.98 Bi.upf
Te 127.60 Te.upf
Se 78.96 Se.upf
ATOMIC_POSITIONS crystal
Tb 0.005 0.005 0.231
Tb 0.327 0.327 0.428
Tb 0.339 0.339 0.903
Tb 0.661 0.661 0.097
Tb 0.673 0.673 0.572
Tb 0.995 0.995 0.769
Bi 0.166 0.166 0.833
Bi 0.834 0.834 0.167
Te 0.500 0.500 0.500
Se 0.166 0.166 0.335
Se 0.500 0.500 0.000
Se 0.834 0.834 0.665
CELL_PARAMETERS angstrom
9.352 -2.129 0.000
9.352 2.129 0.000
-2.085 0.000 8.331
! Mass density = 8.691 g/cm3
! Energy relative to the elements, uncorrected = -1.393 eV/atom
! Space group = C2/m (12)
! D(E_F) = 5.12 states/eV/cell

=====

(11)
! PBE-GGA U2SiSn, relaxed; values from VASP
&SYSTEM
  ibrav = 0, nat = 4, ntyp = 3
/
ATOMIC_SPECIES
U 238.03 U.upf
Si 28.09 Si.upf
Sn 118.71 Sn.upf
ATOMIC_POSITIONS crystal
U 0.000 0.000 0.216
U 0.000 0.000 0.784
Si 0.500 0.500 0.000
Sn 0.500 0.500 0.500
CELL_PARAMETERS angstrom
3.266 0.000 0.000
0.000 3.266 0.000
0.000 0.000 8.423
! Mass density = 11.513 g/cm3
! Energy relative to the elements, uncorrected = -0.053 eV/atom
! Space group = P4/mmm (123)
! D(E_F) = 10.28 states/eV/cell

=====

(12)
! PBE-GGA SrMg2ZnCd5, relaxed; values from VASP
&SYSTEM
  ibrav = 0, nat = 9, ntyp = 4
/
ATOMIC_SPECIES
Sr 87.62 Sr.upf
Mg 24.30 Mg.upf
Zn 65.41 Zn.upf
Cd 112.41 Cd.upf
ATOMIC_POSITIONS crystal
Sr 0.000 0.000 0.000
Mg 0.310 0.810 0.500
Mg 0.690 0.190 0.500
Zn 0.500 0.500 0.000
Cd 0.091 0.351 0.740
Cd 0.389 0.649 0.740
Cd 0.500 0.000 0.500
Cd 0.611 0.351 0.260
Cd 0.909 0.649 0.260
CELL_PARAMETERS angstrom
-2.526 3.258 7.391
2.526 -3.258 7.391
2.526 3.258 -7.391
! Mass density = 5.212 g/cm3
! Space group = Immm (71)
! Energy of formation from the pure elements = 16.9 kJ/mol of formula units
! D(E_F) = 4.10 states/eV/cell